[1]
## PrYCN2O2 (GGA-PBE)

Data for PrYCN2O2 after structural relaxation.

a = 3.819 Å, b = 3.819 Å, c = 8.266 Å
α = 90.00°, β = 90.00°, γ = 120.00°
Atoms (fractional coordinates):
1 C 0.000 0.000 0.995
2 N 0.000 0.000 0.144
3 N 0.000 0.000 0.845
4 O 0.667 0.333 0.405
5 O 0.333 0.667 0.612
6 Pr 0.333 0.667 0.320
7 Y 0.667 0.333 0.679

Results
Space-group type: P3m1, No. 156
Total magnetization, μB/atom: 0.00
VASP energy, eV for the cell shown: -61.63


[2]
## TbScCN2O2 (GGA-PBE)

Data for TbScCN2O2 after structural relaxation.

a = 3.592 Å, b = 3.592 Å, c = 8.035 Å
α = 90.00°, β = 90.00°, γ = 120.00°
Atoms (fractional coordinates):
1 C 0.000 0.000 0.007
2 N 0.000 0.000 0.160
3 N 0.000 0.000 0.853
4 O 0.667 0.333 0.387
5 O 0.333 0.667 0.590
6 Sc 0.333 0.667 0.327
7 Tb 0.667 0.333 0.677

Results
Space-group type: P3m1, No. 156
Total magnetization, μB/atom: 0.00
VASP energy, eV for the cell shown: -61.39